(1)
Material: Na2LiThO4
Method: DFT, PBE-GGA
State: optimized geometry

Output
Density of states at the Fermi level   6.406 states/eV/cell
Formation energy (no corrections)   -2119 meV per atom

Unit cell a=5.808 b=5.808 c=11.227 alpha=90.00 beta=90.00 gamma=146.15
Fractional coordinates of all 16 atoms:
Na (0.137, 0.863, 0.552)
Na (0.137, 0.863, 0.948)
Na (0.863, 0.137, 0.052)
Na (0.863, 0.137, 0.448)
Li (0.335, 0.665, 0.250)
Li (0.665, 0.335, 0.750)
Th (0.401, 0.599, 0.750)
Th (0.599, 0.401, 0.250)
O (0.054, 0.946, 0.750)
O (0.201, 0.799, 0.139)
O (0.201, 0.799, 0.361)
O (0.500, 0.500, 0.000)
O (0.500, 0.500, 0.500)
O (0.799, 0.201, 0.639)
O (0.799, 0.201, 0.861)
O (0.946, 0.054, 0.250)

(2)
Material: Pm2Hg6Pb3
Method: DFT, PBE-GGA
State: optimized geometry

Output
Density of states at the Fermi level   5.131 states/eV/cell
Formation energy from the elements   -0.146 eV/atom

Unit cell a=15.968 b=15.968 c=15.968 alpha=163.46 beta=163.46 gamma=23.48
Fractional coordinates of all 11 atoms:
Pm (0.145, 0.145, 0.000)
Pm (0.855, 0.855, 0.000)
Hg (0.070, 0.570, 0.500)
Hg (0.246, 0.246, 0.000)
Hg (0.430, 0.930, 0.500)
Hg (0.570, 0.070, 0.500)
Hg (0.754, 0.754, 0.000)
Hg (0.930, 0.430, 0.500)
Pb (0.346, 0.346, 0.000)
Pb (0.500, 0.500, 0.000)
Pb (0.654, 0.654, 0.000)

(3)
Material: LiErMg
Method: DFT, PBE-GGA
State: optimized geometry

Output
Density of states at the Fermi level   3.395 states/eV/cell
Formation energy from the elements   0.050 eV/atom

Unit cell a=6.388 b=6.388 c=6.388 alpha=148.05 beta=148.05 gamma=45.82
Fractional coordinates of all 3 atoms:
Li (0.000, 0.000, 0.000)
Er (0.684, 0.684, 0.000)
Mg (0.372, 0.372, 0.000)

(4)
Material: TiBe3S
Method: DFT, PBE-GGA
State: optimized geometry

Output
Density of states at the Fermi level   4.276 states/eV/cell
Formation energy (no corrections)   700 meV per atom

Unit cell a=4.051 b=4.051 c=4.051 alpha=90.00 beta=90.00 gamma=90.00
Fractional coordinates of all 5 atoms:
Ti (0.000, 0.000, 0.000)
Be (0.000, 0.500, 0.500)
Be (0.500, 0.000, 0.500)
Be (0.500, 0.500, 0.000)
S (0.500, 0.500, 0.500)

(5)
Material: Pu4TaN5
Method: DFT, PBE-GGA
State: optimized geometry

Output
Density of states at the Fermi level   26.218 states/eV/cell
Formation energy (no corrections)   -1212 meV per atom

Unit cell a=5.886 b=5.886 c=5.886 alpha=99.59 beta=99.59 gamma=131.81
Fractional coordinates of all 10 atoms:
Pu (0.099, 0.703, 0.802)
Pu (0.297, 0.099, 0.397)
Pu (0.703, 0.901, 0.603)
Pu (0.901, 0.297, 0.198)
Ta (0.500, 0.500, 0.000)
N (0.000, 0.000, 0.000)
N (0.220, 0.406, 0.626)
N (0.406, 0.780, 0.185)
N (0.594, 0.220, 0.815)
N (0.780, 0.594, 0.374)

(6)
Material: Mo2PAu
Method: DFT, PBE-GGA
State: optimized geometry

Output
Density of states at the Fermi level   2.861 states/eV/cell
Formation energy from the elements   0.135 eV/atom

Unit cell a=4.442 b=5.239 c=5.239 alpha=32.41 beta=90.00 gamma=90.00
Fractional coordinates of all 4 atoms:
Mo (0.000, 0.000, 0.000)
Mo (0.500, 0.373, 0.373)
P (0.500, 0.074, 0.074)
Au (0.000, 0.736, 0.736)

(7)
Material: SmTm2Ga2
Method: DFT, PBE-GGA
State: optimized geometry

Output
Density of states at the Fermi level   11.491 states/eV/cell
Formation energy from the elements   -0.459 eV/atom

Unit cell a=8.208 b=8.208 c=3.686 alpha=90.00 beta=90.00 gamma=90.00
Fractional coordinates of all 10 atoms:
Sm (0.000, 0.000, 0.000)
Sm (0.500, 0.500, 0.000)
Tm (0.174, 0.326, 0.500)
Tm (0.326, 0.826, 0.500)
Tm (0.674, 0.174, 0.500)
Tm (0.826, 0.674, 0.500)
Ga (0.123, 0.623, 0.000)
Ga (0.377, 0.123, 0.000)
Ga (0.623, 0.877, 0.000)
Ga (0.877, 0.377, 0.000)

(8)
Material: MgNiAs2
Method: DFT, PBE-GGA
State: optimized geometry

Output
Density of states at the Fermi level   2.620 states/eV/cell
Formation energy from the elements   -0.024 eV/atom

Unit cell a=4.714 b=4.714 c=4.714 alpha=126.11 beta=126.11 gamma=79.71
Fractional coordinates of all 4 atoms:
Mg (0.000, 0.000, 0.000)
Ni (0.500, 0.500, 0.000)
As (0.250, 0.750, 0.500)
As (0.750, 0.250, 0.500)